[1]
The following is a DFT calculation (PBE) of ErGa3Ru2 after structural relaxation.

calculated formation energy	-0.4358	eV/atom
energy above the lowest structure with this stoichiometry	39	meV per atom
space-group type	No. 191
E_tot	-5.8017	eV per atom

Unit cell a=5.365 b=5.365 c=8.289 alpha=90.00 beta=90.00 gamma=120.00
Last column: magnetic moment on the atom in μB.
Element x y z (fractional)
Er  0.000  0.000  0.500  0.13
Er  0.000  0.000  0.000  0.13
Ga  0.500  0.000  0.250  0.00
Ga  0.000  0.500  0.750  0.00
Ga  0.500  0.000  0.750  0.00
Ga  0.500  0.500  0.250  0.00
Ga  0.000  0.500  0.250  0.00
Ga  0.500  0.500  0.750  0.00
Ru  0.667  0.333  0.500  0.33
Ru  0.333  0.667  0.000  0.33
Ru  0.333  0.667  0.500  0.33
Ru  0.667  0.333  0.000  0.33

***

[2]
The following is a DFT calculation (PBE) of Er3Ga4Ru2 after structural relaxation.

calculated formation energy	-0.5869	eV/atom
energy above the lowest structure with this stoichiometry	0	meV per atom
space-group type	No. 12
E_tot	-5.5144	eV per atom

Unit cell a=4.361 b=5.612 c=8.322 alpha=106.73 beta=90.00 gamma=112.86
Element x y z (fractional)
Er  0.634  0.268  0.690
Er  0.000  0.000  0.000
Er  0.366  0.732  0.310
Ga  0.718  0.436  0.071
Ga  0.282  0.564  0.929
Ga  0.912  0.824  0.599
Ga  0.088  0.176  0.401
Ru  0.683  0.367  0.356
Ru  0.317  0.633  0.644

***

[3]
The following is a DFT calculation (PBE) of ErGaRu after structural relaxation.

calculated formation energy	-0.4921	eV/atom
space-group type	No. 187
E_tot	-6.1139	eV per atom

Unit cell a=3.543 b=4.346 c=4.346 alpha=120.00 beta=90.00 gamma=90.00
Element x y z (fractional)
Ru  0.167  0.333  0.667
Ga  0.167  0.000  0.000
Er  0.667  0.667  0.333

***

[4]
The following is a DFT calculation (PBE) of ErGa3Ru after structural relaxation.

calculated formation energy	-0.2191	eV/atom
energy above the lowest structure with this stoichiometry	365	meV per atom
space-group type	No. 148
E_tot	-4.8030	eV per atom

Unit cell a=5.992 b=5.992 c=5.992 alpha=74.56 beta=74.56 gamma=74.56
Element x y z (fractional)
Er  0.159  0.159  0.159
Er  0.841  0.841  0.841
Ga  0.300  0.987  0.634
Ga  0.634  0.300  0.987
Ga  0.987  0.634  0.300
Ga  0.700  0.013  0.366
Ga  0.013  0.366  0.700
Ga  0.366  0.700  0.013
Ru  0.408  0.408  0.408
Ru  0.592  0.592  0.592

***

[5]
The following is a DFT calculation (PBE) of ErGa2Ru after structural relaxation.

calculated formation energy	-0.4854	eV/atom
space-group type	No. 59
E_tot	-5.4585	eV per atom

Unit cell a=3.759 b=5.097 c=7.791 alpha=90.00 beta=90.00 gamma=90.00
Element x y z (fractional)
Er  0.500  0.863  0.000
Er  0.000  0.137  0.500
Ga  0.000  0.676  0.725
Ga  0.500  0.324  0.775
Ga  0.000  0.676  0.275
Ga  0.500  0.324  0.225
Ru  0.500  0.630  0.500
Ru  0.000  0.370  0.000

***

[6]
The following is a DFT calculation (PBE) of Er3Ga7Ru2 after structural relaxation.

calculated formation energy	-0.3753	eV/atom
space-group type	No. 65
E_tot	-4.8277	eV per atom

Unit cell a=4.615 b=4.625 c=11.611 alpha=101.49 beta=90.00 gamma=90.00
Element x y z (fractional)
Er  0.500  0.500  0.000
Er  0.500  0.682  0.363
Er  0.500  0.318  0.637
Ga  0.000  0.411  0.822
Ga  0.000  0.780  0.560
Ga  0.000  0.000  0.000
Ga  0.000  0.589  0.178
Ga  0.500  0.089  0.178
Ga  0.500  0.911  0.822
Ga  0.000  0.220  0.440
Ru  0.000  0.889  0.778
Ru  0.000  0.111  0.222